*a*
Density functional theory data (PBE) for a relaxed structure of ScHNF2.

Unit cell a=4.112 b=4.112 c=4.481 alpha=90.00 beta=90.00 gamma=90.00
Positions (direct):
H 0.500 0.500 0.500
F 0.500 0.000 0.000
F 0.000 0.500 0.000
Sc 0.000 0.000 0.000
N 0.000 0.000 0.500

***

*b*
Density functional theory data (PBE) for a relaxed structure of ScHNF2.

Unit cell a=3.238 b=3.238 c=4.111 alpha=90.00 beta=90.00 gamma=90.00
Positions (direct):
Sc 0.500 0.500 0.500
H 0.000 0.000 0.000
N 0.000 0.000 0.500
F 0.500 0.000 0.000
F 0.000 0.500 0.000

***

Stability verdict: *a*, ahead by 6.0 kJ/mol of atoms